No. 1
# Sr3Ag SCAN single point on PBEsol structure
# Calculated formation energy ... -0.5 eV per formula unit
# Density of states at the Fermi level ... 3.5 states/eV per cell
# E above lowest polymorph ... 4.7 kJ per mole of atoms
# Uncorrected energy ... -24.677 eV/atom
# Magnetization ... 0.000 Bohr magnetons per cell
data_Sr3Ag
_symmetry_space_group_name_H-M 'P 1'
_symmetry_Int_Tables_number 1
_cell_length_a 3.951
_cell_length_b 3.951
_cell_length_c 10.112
_cell_angle_alpha 90.00
_cell_angle_beta 90.00
_cell_angle_gamma 90.08
loop_
_symmetry_equiv_pos_as_xyz
'x,y,z'
loop_
_atom_site_label
_atom_site_fract_x
_atom_site_fract_y
_atom_site_fract_z
Sr1 0.500 0.500 0.818
Sr2 0.000 0.000 0.500
Sr3 0.500 0.500 0.182
Ag1 0.000 0.000 0.000

No. 2
# SrTaAg2 SCAN single point on PBEsol structure
# Calculated formation energy ... 2.3 eV per formula unit
# Density of states at the Fermi level ... 2.3 states/eV per cell
# E above lowest polymorph ... 0.0 kJ per mole of atoms
# Uncorrected energy ... -37.333 eV/atom
# Magnetization ... 0.000 Bohr magnetons per cell
data_SrTaAg2
_symmetry_space_group_name_H-M 'P 1'
_symmetry_Int_Tables_number 1
_cell_length_a 2.946
_cell_length_b 5.178
_cell_length_c 6.206
_cell_angle_alpha 114.66
_cell_angle_beta 103.73
_cell_angle_gamma 90.00
loop_
_symmetry_equiv_pos_as_xyz
'x,y,z'
loop_
_atom_site_label
_atom_site_fract_x
_atom_site_fract_y
_atom_site_fract_z
Ag1 0.006 0.006 0.013
Ag2 0.725 0.225 0.450
Sr1 0.490 0.490 0.981
Ta1 0.278 0.778 0.556

No. 3
# SrTaAg2 SCAN single point on PBEsol structure
# Calculated formation energy ... 2.7 eV per formula unit
# Density of states at the Fermi level ... 3.7 states/eV per cell
# E above lowest polymorph ... 10.4 kJ per mole of atoms
# Uncorrected energy ... -37.225 eV/atom
# Magnetization ... 0.000 Bohr magnetons per cell
data_SrTaAg2
_symmetry_space_group_name_H-M 'P 1'
_symmetry_Int_Tables_number 1
_cell_length_a 3.053
_cell_length_b 3.053
_cell_length_c 10.227
_cell_angle_alpha 81.41
_cell_angle_beta 81.41
_cell_angle_gamma 60.00
loop_
_symmetry_equiv_pos_as_xyz
'x,y,z'
loop_
_atom_site_label
_atom_site_fract_x
_atom_site_fract_y
_atom_site_fract_z
Ag1 0.257 0.257 0.228
Ag2 0.743 0.743 0.772
Sr1 0.500 0.500 0.500
Ta1 0.000 0.000 0.000

No. 4
# SrTcAg2 SCAN single point on PBEsol structure
# Calculated formation energy ... 2.5 eV per formula unit
# Density of states at the Fermi level ... 2.9 states/eV per cell
# E above lowest polymorph ... 4.2 kJ per mole of atoms
# Uncorrected energy ... -29.384 eV/atom
# Magnetization ... 0.002 Bohr magnetons per cell
data_SrTcAg2
_symmetry_space_group_name_H-M 'P 1'
_symmetry_Int_Tables_number 1
_cell_length_a 2.792
_cell_length_b 5.127
_cell_length_c 5.752
_cell_angle_alpha 97.13
_cell_angle_beta 90.00
_cell_angle_gamma 105.80
loop_
_symmetry_equiv_pos_as_xyz
'x,y,z'
loop_
_atom_site_label
_atom_site_fract_x
_atom_site_fract_y
_atom_site_fract_z
Ag1 0.763 0.526 0.798
Ag2 0.237 0.474 0.202
Sr1 0.000 0.000 0.500
Tc1 0.500 0.000 0.000

No. 5
# SrTcAg3 SCAN single point on PBEsol structure
# Calculated formation energy ... 3.3 eV per formula unit
# Density of states at the Fermi level ... 2.2 states/eV per cell
# Uncorrected energy ... -29.624 eV/atom
# Magnetization ... 2.573 Bohr magnetons per cell
data_SrTcAg3
_symmetry_space_group_name_H-M 'P 1'
_symmetry_Int_Tables_number 1
_cell_length_a 5.032
_cell_length_b 5.032
_cell_length_c 5.032
_cell_angle_alpha 90.00
_cell_angle_beta 90.00
_cell_angle_gamma 90.00
loop_
_symmetry_equiv_pos_as_xyz
'x,y,z'
loop_
_atom_site_label
_atom_site_fract_x
_atom_site_fract_y
_atom_site_fract_z
Sr1 0.500 0.500 0.500
Tc1 0.000 0.000 0.000
Ag1 0.000 0.500 0.000
Ag2 0.000 0.000 0.500
Ag3 0.500 0.000 0.000

No. 6
# SrTcAg2 SCAN single point on PBEsol structure
# Calculated formation energy ... 2.4 eV per formula unit
# Density of states at the Fermi level ... 2.8 states/eV per cell
# E above lowest polymorph ... 0.0 kJ per mole of atoms
# Uncorrected energy ... -29.427 eV/atom
# Magnetization ... 0.004 Bohr magnetons per cell
data_SrTcAg2
_symmetry_space_group_name_H-M 'P 1'
_symmetry_Int_Tables_number 1
_cell_length_a 2.788
_cell_length_b 4.759
_cell_length_c 5.928
_cell_angle_alpha 90.00
_cell_angle_beta 102.95
_cell_angle_gamma 90.00
loop_
_symmetry_equiv_pos_as_xyz
'x,y,z'
loop_
_atom_site_label
_atom_site_fract_x
_atom_site_fract_y
_atom_site_fract_z
Ag1 0.813 0.000 0.972
Ag2 0.922 0.500 0.234
Sr1 0.542 0.000 0.481
Tc1 0.222 0.500 0.813

No. 7
# Sr2AgTe SCAN single point on PBEsol structure
# Density of states at the Fermi level ... 1.5 states/eV per cell
# Uncorrected energy ... -29.184 eV/atom
# Energy relative to the elements, uncorrected ... -0.892 eV per atom
# Magnetization ... 0.000 Bohr magnetons per cell
data_Sr2AgTe
_symmetry_space_group_name_H-M 'P 1'
_symmetry_Int_Tables_number 1
_cell_length_a 4.304
_cell_length_b 4.226
_cell_length_c 8.268
_cell_angle_alpha 104.81
_cell_angle_beta 105.09
_cell_angle_gamma 90.00
loop_
_symmetry_equiv_pos_as_xyz
'x,y,z'
loop_
_atom_site_label
_atom_site_fract_x
_atom_site_fract_y
_atom_site_fract_z
Ag1 0.294 0.794 0.587
Sr1 0.955 0.955 0.910
Sr2 0.709 0.209 0.418
Te1 0.542 0.542 0.084

No. 8
# Sr2AgTe SCAN single point on PBEsol structure
# Density of states at the Fermi level ... 1.6 states/eV per cell
# Uncorrected energy ... -29.248 eV/atom
# Energy relative to the elements, uncorrected ... -0.956 eV per atom
# Magnetization ... 0.000 Bohr magnetons per cell
data_Sr2AgTe
_symmetry_space_group_name_H-M 'P 1'
_symmetry_Int_Tables_number 1
_cell_length_a 4.446
_cell_length_b 4.736
_cell_length_c 6.474
_cell_angle_alpha 90.00
_cell_angle_beta 110.08
_cell_angle_gamma 90.00
loop_
_symmetry_equiv_pos_as_xyz
'x,y,z'
loop_
_atom_site_label
_atom_site_fract_x
_atom_site_fract_y
_atom_site_fract_z
Sr1 0.016 0.000 0.032
Sr2 0.741 0.500 0.483
Te1 0.462 0.500 0.924
Ag1 0.280 0.000 0.561

No. 9
# Sr2AgTe SCAN single point on PBEsol structure
# Density of states at the Fermi level ... 2.0 states/eV per cell
# Uncorrected energy ... -29.244 eV/atom
# Energy relative to the elements, uncorrected ... -0.951 eV per atom
# Magnetization ... 0.000 Bohr magnetons per cell
data_Sr2AgTe
_symmetry_space_group_name_H-M 'P 1'
_symmetry_Int_Tables_number 1
_cell_length_a 4.639
_cell_length_b 4.639
_cell_length_c 6.503
_cell_angle_alpha 90.00
_cell_angle_beta 90.00
_cell_angle_gamma 90.00
loop_
_symmetry_equiv_pos_as_xyz
'x,y,z'
loop_
_atom_site_label
_atom_site_fract_x
_atom_site_fract_y
_atom_site_fract_z
Sr1 0.000 0.000 0.875
Sr2 0.500 0.500 0.375
Te1 0.000 0.000 0.375
Ag1 0.500 0.500 0.875

No. 10
# Sr2AgTe SCAN single point on PBEsol structure
# Density of states at the Fermi level ... 1.9 states/eV per cell
# Uncorrected energy ... -29.273 eV/atom
# Energy relative to the elements, uncorrected ... -0.981 eV per atom
# Magnetization ... 0.000 Bohr magnetons per cell
data_Sr2AgTe
_symmetry_space_group_name_H-M 'P 1'
_symmetry_Int_Tables_number 1
_cell_length_a 4.602
_cell_length_b 4.602
_cell_length_c 8.041
_cell_angle_alpha 73.37
_cell_angle_beta 73.37
_cell_angle_gamma 60.00
loop_
_symmetry_equiv_pos_as_xyz
'x,y,z'
loop_
_atom_site_label
_atom_site_fract_x
_atom_site_fract_y
_atom_site_fract_z
Sr1 0.748 0.748 0.757
Sr2 0.252 0.252 0.243
Te1 0.500 0.500 0.500
Ag1 0.000 0.000 0.000

No. 11
# SrTl2Ag SCAN single point on PBEsol structure
# Calculated formation energy ... -0.8 eV per formula unit
# Density of states at the Fermi level ... 2.1 states/eV per cell
# Uncorrected energy ... -49.799 eV/atom
# Magnetization ... 0.000 Bohr magnetons per cell
data_SrTl2Ag
_symmetry_space_group_name_H-M 'P 1'
_symmetry_Int_Tables_number 1
_cell_length_a 4.631
_cell_length_b 4.634
_cell_length_c 4.913
_cell_angle_alpha 90.00
_cell_angle_beta 90.00
_cell_angle_gamma 90.00
loop_
_symmetry_equiv_pos_as_xyz
'x,y,z'
loop_
_atom_site_label
_atom_site_fract_x
_atom_site_fract_y
_atom_site_fract_z
Sr1 0.000 0.500 0.500
Tl1 0.000 0.000 0.000
Tl2 0.500 0.500 0.000
Ag1 0.500 0.000 0.500

No. 12
# SrTl2Ag SCAN single point on PBEsol structure
# Calculated formation energy ... -0.9 eV per formula unit
# Density of states at the Fermi level ... 1.7 states/eV per cell
# Uncorrected energy ... -49.823 eV/atom
# Magnetization ... 0.000 Bohr magnetons per cell
data_SrTl2Ag
_symmetry_space_group_name_H-M 'P 1'
_symmetry_Int_Tables_number 1
_cell_length_a 5.267
_cell_length_b 5.267
_cell_length_c 5.267
_cell_angle_alpha 60.00
_cell_angle_beta 60.00
_cell_angle_gamma 60.00
loop_
_symmetry_equiv_pos_as_xyz
'x,y,z'
loop_
_atom_site_label
_atom_site_fract_x
_atom_site_fract_y
_atom_site_fract_z
Sr1 0.250 0.250 0.250
Tl1 0.000 0.000 0.000
Tl2 0.750 0.750 0.750
Ag1 0.500 0.500 0.500

Which of these has the highest uncorrected energy? Sr3Ag

What is the formula in the twelfth record? SrTl2Ag